1.
VASP calculation (PBE) on crystalline K2InAgCl6 at its relaxed geometry.

Cell: 7.2233 7.5024 10.2082 Å, 90.00 89.74 90.00°
Last column: nearest neighbours and their distance in Å.
Fractional positions:
K1 0.0196 0.9313 0.2497  8 Cl 3.18-3.55
K2 0.5196 0.5687 0.7497  8 Cl 3.18-3.55
K3 0.9804 0.0687 0.7503  8 Cl 3.18-3.55
K4 0.4804 0.4313 0.2503  8 Cl 3.18-3.55
In1 0.5000 0.0000 0.5000  6 Cl 2.56-2.57
In2 0.0000 0.5000 0.0000  6 Cl 2.56-2.57
Ag1 0.5000 0.0000 0.0000  6 Cl 2.70-2.82
Ag2 0.0000 0.5000 0.5000  6 Cl 2.70-2.82
Cl1 0.2878 0.6898 0.0442  1 In 2.56, 1 Ag 2.82
Cl2 0.7878 0.8102 0.5442  1 In 2.56, 1 Ag 2.82
Cl3 0.7122 0.3102 0.9558  1 In 2.56, 1 Ag 2.82
Cl4 0.2122 0.1898 0.4558  1 In 2.56, 1 Ag 2.82
Cl5 0.3126 0.7150 0.4566  1 In 2.57, 1 Ag 2.81
Cl6 0.8126 0.7850 0.9566  1 In 2.57, 1 Ag 2.81
Cl7 0.6874 0.2850 0.5434  1 In 2.57, 1 Ag 2.81
Cl8 0.1874 0.2150 0.0434  1 In 2.57, 1 Ag 2.81
Cl9 0.9119 0.5177 0.2438  1 In 2.57, 1 Ag 2.70
Cl10 0.4119 0.9823 0.7438  1 In 2.57, 1 Ag 2.70
Cl11 0.0881 0.4823 0.7562  1 In 2.57, 1 Ag 2.70
Cl12 0.5881 0.0177 0.2562  1 In 2.57, 1 Ag 2.70

Calculated values
relative energy among the computed polymorphs: 0 kJ/mol of formula units
total moment: 0.000 μB/atom
raw formation energy: -1.345 eV per atom
space-group type: P2_1/c (14)

2.
VASP calculation (PBE) on crystalline Pm3Pr3Y at its relaxed geometry.

Cell: 9.0509 9.0509 9.0509 Å, 58.33 58.33 58.33°
Last column: nearest neighbours and their distance in Å.
Fractional positions:
Pm1 0.7210 0.5690 0.0689  3 Pr 3.30-3.51, 2 Pm 3.68
Pm2 0.0689 0.7210 0.5690  3 Pr 3.30-3.51, 2 Pm 3.68
Pm3 0.5690 0.0689 0.7210  3 Pr 3.30-3.51, 2 Pm 3.68
Pm4 0.4310 0.9311 0.2790  3 Pr 3.30-3.51, 2 Pm 3.68
Pm5 0.9311 0.2790 0.4310  3 Pr 3.30-3.51, 2 Pm 3.68
Pm6 0.2790 0.4310 0.9311  3 Pr 3.30-3.51, 2 Pm 3.68
Pr1 0.7043 0.1814 0.9378  3 Pm 3.30-3.51, 4 Pr 3.38-3.65, 1 Y 3.58
Pr2 0.1814 0.9378 0.7043  3 Pm 3.30-3.51, 4 Pr 3.38-3.65, 1 Y 3.58
Pr3 0.9378 0.7043 0.1814  3 Pm 3.30-3.51, 4 Pr 3.38-3.65, 1 Y 3.58
Pr4 0.0622 0.2957 0.8186  3 Pm 3.30-3.51, 4 Pr 3.38-3.65, 1 Y 3.58
Pr5 0.8186 0.0622 0.2957  3 Pm 3.30-3.51, 4 Pr 3.38-3.65, 1 Y 3.58
Pr6 0.2957 0.8186 0.0622  3 Pm 3.30-3.51, 4 Pr 3.38-3.65, 1 Y 3.58
Y1 0.3452 0.3452 0.3452  6 Pr 3.58-3.80, 6 Pm 3.72-3.86
Y2 0.6548 0.6548 0.6548  6 Pr 3.58-3.80, 6 Pm 3.72-3.86

Calculated values
relative energy among the computed polymorphs: 130 kJ/mol of formula units
total moment: 0.000 μB/atom
formation energy: 0.22 eV/atom
space-group type: R-3 (148)

3.
VASP calculation (PBE) on crystalline CeZrTe3 at its relaxed geometry.

Cell: 6.7581 8.7121 13.6032 Å, 123.55 90.00 90.00°
Last column: nearest neighbours and their distance in Å.
Fractional positions:
Ce1 0.7941 0.0534 0.7685  6 Te 3.10-3.22
Ce2 0.2059 0.9466 0.2315  6 Te 3.10-3.22
Ce3 0.2941 0.4466 0.7315  6 Te 3.10-3.22
Ce4 0.7059 0.5534 0.2685  6 Te 3.10-3.22
Zr1 0.2314 0.5034 0.4360  6 Te 2.88-3.13
Zr2 0.7686 0.4966 0.5640  6 Te 2.88-3.13
Zr3 0.7314 0.9966 0.0640  6 Te 2.88-3.13
Zr4 0.2686 0.0034 0.9360  6 Te 2.88-3.13
Te1 0.1103 0.7351 0.6791  3 Zr 2.88-3.13, 2 Ce 3.16-3.22
Te2 0.8897 0.2649 0.3209  3 Zr 2.88-3.13, 2 Ce 3.16-3.22
Te3 0.6103 0.7649 0.8209  3 Zr 2.88-3.13, 2 Ce 3.16-3.22
Te4 0.3897 0.2351 0.1791  3 Zr 2.88-3.13, 2 Ce 3.16-3.22
Te5 0.5754 0.7625 0.5303  2 Zr 2.91-2.99, 2 Ce 3.10-3.17
Te6 0.4246 0.2375 0.4697  2 Zr 2.91-2.99, 2 Ce 3.10-3.17
Te7 0.0754 0.7375 0.9697  2 Zr 2.91-2.99, 2 Ce 3.10-3.17
Te8 0.9246 0.2625 0.0303  2 Zr 2.91-2.99, 2 Ce 3.10-3.17
Te9 0.1306 0.7275 0.3459  1 Zr 2.90, 2 Ce 3.10-3.14
Te10 0.8694 0.2725 0.6541  1 Zr 2.90, 2 Ce 3.10-3.14
Te11 0.6306 0.7725 0.1541  1 Zr 2.90, 2 Ce 3.10-3.14
Te12 0.3694 0.2275 0.8459  1 Zr 2.90, 2 Ce 3.10-3.14

Calculated values
relative energy among the computed polymorphs: 9 kJ/mol of formula units
total moment: 0.189 μB/atom
raw formation energy: -1.034 eV per atom
space-group type: P2_1/c (14)

4.
VASP calculation (PBE) on crystalline VNi4Ir3 at its relaxed geometry.

Cell: 2.6122 8.2456 6.4859 Å, 129.47 101.62 90.00°
Last column: nearest neighbours and their distance in Å.
Fractional positions:
Ni1 0.3743 0.6176 0.7486  3 Ni 2.43-2.61, 1 V 2.44, 5 Ir 2.49-2.68
Ni2 0.6257 0.3824 0.2514  3 Ni 2.43-2.61, 1 V 2.44, 5 Ir 2.49-2.68
Ni3 0.6257 0.8690 0.2514  3 Ni 2.43-2.61, 1 V 2.44, 5 Ir 2.49-2.68
Ni4 0.3743 0.1310 0.7486  3 Ni 2.43-2.61, 1 V 2.44, 5 Ir 2.49-2.68
Ir1 0.2218 0.2218 0.4436  6 Ni 2.49-2.65, 2 V 2.51, 2 Ir 2.61
Ir2 0.7782 0.7782 0.5564  6 Ni 2.49-2.65, 2 V 2.51, 2 Ir 2.61
Ir3 0.0000 0.5000 0.0000  2 Ir 2.61, 8 Ni 2.68
V1 0.5000 0.0000 0.0000  4 Ni 2.44, 4 Ir 2.51, 2 V 2.61

Calculated values
total moment: 0.002 μB/atom
formation energy: 0.07 eV/atom
space-group type: Immm (71)

5.
VASP calculation (PBE) on crystalline SrScTaB2 at its relaxed geometry.

Cell: 4.7132 4.7582 4.7132 Å, 90.00 90.00 90.00°
Last column: nearest neighbours and their distance in Å.
Fractional positions:
Sc1 0.0000 0.0000 0.0000  4 B 2.36, 2 Ta 2.38
Sr1 0.5000 0.5000 0.5000  4 Ta 3.33, 8 B 3.35
B1 0.0000 0.0000 0.5000  2 Sc 2.36
B2 0.5000 0.0000 0.0000  2 Sc 2.36
Ta1 0.0000 0.5000 0.0000  2 Sc 2.38

Calculated values
total moment: 0.003 μB/atom
formation energy: 1.60 eV/atom
space-group type: P4/mmm (123)

6.
VASP calculation (PBE) on crystalline AcNd2Dy at its relaxed geometry.

Cell: 3.6446 3.6446 13.1136 Å, 82.01 82.01 60.00°
Last column: nearest neighbours and their distance in Å.
Fractional positions:
Ac1 0.0000 0.0000 0.0000  2 Nd 3.59, 6 Ac 3.64
Nd1 0.0924 0.0924 0.7229  3 Dy 3.57, 1 Ac 3.59, 6 Nd 3.64
Nd2 0.9076 0.9076 0.2771  3 Dy 3.57, 1 Ac 3.59, 6 Nd 3.64
Dy1 0.5000 0.5000 0.5000  6 Nd 3.57, 6 Dy 3.64

Calculated values
relative energy among the computed polymorphs: 50 kJ/mol of formula units
total moment: 0.000 μB/atom
formation energy: 0.16 eV/atom
space-group type: R-3m (166)